The following is a PBE+U calculation of a relaxed structure of AlGaCoO4, from OQMD via LeMat-Bulk.

Summary:
**Energy**: -6.603 eV per atom
**Volume**: 9.832 A^3/atom
**ΔE to the lowest computed polymorph**: 0.0 meV/atom

```
28
Lattice="5.8235 0.0000 0.0000 0.0000 5.8235 0.0000 0.0000 0.0000 8.1175" Properties=species:S:1:pos:R:3 pbc="T T T"
Co 4.3451 2.9118 2.0294
Al 1.4659 0.0000 6.0881
O 2.8152 1.3404 6.0518
O 5.7380 1.3494 1.9032
O 4.4741 0.0855 0.1261
O 4.4832 3.0083 4.0951
O 5.7380 4.4741 2.1555
O 1.3494 5.7380 4.1849
Ga 1.4185 1.4185 3.0441
Ga 4.4050 4.4050 7.1028
O 0.0855 4.4741 5.9620
O 4.4741 5.7380 3.9326
Ga 1.4185 4.4050 1.0147
Al 0.0000 4.3577 4.0588
O 1.3404 2.8152 0.0363
O 3.0083 1.3404 2.0657
Ga 4.4050 1.4185 5.0735
Al 0.0000 1.4659 0.0000
Co 2.9118 1.4785 0.0000
O 1.3494 0.0855 7.9914
O 1.3404 3.0083 4.0225
O 0.0855 1.3494 6.2143
Co 2.9118 4.3451 4.0588
O 3.0083 4.4832 1.9931
O 4.4832 2.8152 8.0812
Co 1.4785 2.9118 6.0881
Al 4.3577 0.0000 2.0294
O 2.8152 4.4832 6.1244
```